VASP calculation (PBE-GGA) on a relaxed KVFe3 crystal.

Geometry as POSCAR:
```
KVFe3
1.0
4.420 0.000 0.000
0.000 4.420 0.000
0.000 0.000 4.420
K Fe V
1 3 1
Direct
0.000 0.000 0.000 K
0.000 0.500 0.000 Fe
0.000 0.000 0.500 Fe
0.500 0.000 0.000 Fe
0.500 0.500 0.500 V
```

Summary:
Its formation energy from the elements is 2.492 eV per atom. The calculation puts the excess energy over the best structure of this formula in the dataset at 1303 meV per atom. As for the crystal system: cubic.

VASP calculation (PBE-GGA) on a relaxed ZnCoTe2 crystal.

Geometry as POSCAR:
```
ZnCoTe2
1.0
-0.018 -1.918 2.537
4.294 2.071 1.596
-2.615 3.434 2.577
Co Te Zn
1 2 1
Direct
0.500 0.000 0.500 Co
0.000 0.000 0.000 Te
0.000 0.500 0.500 Te
0.500 0.500 0.000 Zn
```

Summary:
The energy relative to the elements, uncorrected is 456 meV per atom. As for the crystal system: tetragonal.

VASP calculation (PBE-GGA) on a relaxed Co2SiPPd crystal.

Geometry as POSCAR:
```
Co2SiPPd
1.0
4.679 0.000 0.000
0.000 4.312 0.000
0.000 0.000 4.679
P Si Co Pd
1 1 2 1
Direct
0.000 0.500 0.000 P
0.500 0.500 0.500 Si
0.000 0.000 0.500 Co
0.500 0.000 0.000 Co
0.000 0.000 0.000 Pd
```

Summary:
The energy relative to the elements, uncorrected is 1191 meV per atom. As for the crystal system: tetragonal.

Number 1: E -4.63 eV per atom. Number 2: E -3.21 eV per atom. Number 3: E -4.86 eV per atom.